Compound: Ca8Sm
Source: Alexandria
Functional: GGA-PBE
Structure: optimized geometry

Output
Crystal system   tetragonal
Formation energy from the elements   4.84 kJ/mol of atoms
Space-group type   I4/mmm

abc: 5.539 8.618 8.618
angles: 84.07 71.25 71.25
Element x y z (fractional)
Ca: 0.336 0.000 0.328
Ca: 0.664 0.000 0.672
Ca: 0.664 0.672 0.000
Ca: 0.000 0.670 0.330
Ca: 0.330 0.670 0.670
Ca: 0.670 0.330 0.330
Ca: 0.000 0.330 0.670
Ca: 0.336 0.328 0.000
Sm: 0.000 0.000 0.000